Model 1:
DFT (PBE) results for crystalline Cs2Tl6Pb at its relaxed geometry.

Summary:
calculated volume	37.16	Å³ per atom
size of the total moment	0.00	Bohr magnetons per cell

```
9
Lattice="3.688 0.000 0.001 0.001 8.871 5.104 -0.001 0.020 10.234" Properties=species:S:1:pos:R:3 pbc="T T T"
Cs 3.689 5.928 10.229
Tl 1.839 0.015 7.118
Pb 0.000 0.000 0.000
Cs 0.000 2.963 5.111
Tl 1.840 6.169 3.551
Tl 1.849 2.722 11.788
Tl 1.850 8.876 8.221
Tl 1.845 6.171 6.669
Tl 1.844 2.720 8.670
```


Model 2:
DFT (PBE) results for crystalline Cs2Tl6Pb at its relaxed geometry.

Summary:
calculated volume	37.65	Å³ per atom
size of the total moment	0.00	Bohr magnetons per cell

```
9
Lattice="-2.124 -5.504 4.622 -1.741 -4.422 -5.616 4.742 -4.745 -3.021" Properties=species:S:1:pos:R:3 pbc="T T T"
Cs 0.707 -3.721 -2.230
Tl -1.680 -7.482 -1.178
Cs 0.169 -10.950 -1.785
Tl 2.557 -7.189 -2.837
Pb 0.000 0.000 0.000
Tl -0.504 -7.037 -4.062
Tl 1.690 -9.531 -5.408
Tl 1.380 -7.634 0.047
Tl -0.813 -5.140 1.393
```


Least stable: model 1